Mn2Ni2Ir7 | PBE | relaxed

Summary:
As for the calculated formation energy: 51 meV per atom. The magnetization is 3.12 μB/f.u. As for the space group: C2/m.

abc: 4.9254 6.2843 4.9254
angles: 83.11 92.64 83.11
Positions (direct):
Mn1 0.6069 0.6505 0.6069
Mn2 0.3931 0.3495 0.3931
Ni1 0.6896 0.0000 0.3104
Ni2 0.3104 0.0000 0.6896
Ir1 0.9077 0.3064 0.5296
Ir2 0.4704 0.6936 0.0923
Ir3 0.0923 0.6936 0.4704
Ir4 0.5296 0.3064 0.9077
Ir5 0.0000 0.5000 0.0000
Ir6 0.1754 0.0680 0.1754
Ir7 0.8246 0.9320 0.8246